No. 1
Entry from the Alexandria database: a geometry-optimized EuUOs2 structure (GGA-PBE).

Geometry as POSCAR:
```
EuUOs2
1.0
-0.937 1.761 -2.859
-1.947 -1.549 -2.441
-7.827 2.650 2.073
Eu Os U
1 2 1
Cartesian
-5.356 1.431 -1.614
-2.399 0.611 -0.963
-8.312 2.251 -2.265
0.000 0.000 0.000
```

Output
Calculated total energy = -42.78 eV/cell
V = 21.78 Å³ per atom
Calculated formation energy = 119 kJ/mol of formula units
Space-group type = R-3m

No. 2
Entry from the Alexandria database: a geometry-optimized EuY2Os structure (GGA-PBE).

Geometry as POSCAR:
```
EuY2Os
1.0
-3.132 -0.581 1.316
-0.977 -1.457 -2.967
2.958 -8.595 3.247
Eu Y Os
1 2 1
Cartesian
-0.575 -5.316 0.798
2.453 -7.127 2.692
0.505 -1.468 0.555
-2.054 -1.019 -0.825
```

Output
Calculated total energy = -34.87 eV/cell
V = 28.66 Å³ per atom
Calculated formation energy = -42 kJ/mol of formula units
Space-group type = P4/mmm

No. 3
Entry from the Alexandria database: a geometry-optimized EuY3Os structure (GGA-PBE).

Geometry as POSCAR:
```
EuY3Os
1.0
5.493 0.000 0.000
0.000 5.493 0.000
0.000 0.000 5.493
Eu Y Os
1 3 1
Cartesian
2.746 2.746 2.746
0.000 2.746 0.000
0.000 0.000 2.746
2.746 0.000 0.000
0.000 0.000 0.000
```

Output
Calculated total energy = -41.26 eV/cell
V = 33.15 Å³ per atom
Calculated formation energy = -35 kJ/mol of formula units
Space-group type = Pm-3m